Record 1
A relaxed structure of InAgI2N, computed with PBE.

abc: 6.0779 6.0779 4.0791
angles: 90.00 90.00 90.00
Atoms (fractional coordinates):
In 0.0000 0.0000 0.0000
Ag 0.5000 0.5000 0.5000
I 0.0000 0.5000 0.0000
I 0.5000 0.0000 0.0000
N 0.0000 0.0000 0.5000

For the volume, the calculation gives 150.7 Å³/cell. The formation energy without anion corrections is 3.094 eV per formula unit. The total moment is 1.08 Bohr magnetons per cell. The calculation puts the relative energy among the computed polymorphs at 0.012 eV per atom.

---

Record 2
A relaxed structure of InAgIN2, computed with PBE.

abc: 4.1945 4.1945 6.3510
angles: 90.00 90.00 90.00
Atoms (fractional coordinates):
In 0.0000 0.0000 0.0000
Ag 0.5000 0.5000 0.5000
I 0.5000 0.5000 0.0000
N 0.0000 0.5000 0.5000
N 0.5000 0.0000 0.5000

For the volume, the calculation gives 111.7 Å³/cell. The formation energy without anion corrections is 8.214 eV per formula unit. The total moment is 3.43 Bohr magnetons per cell. The calculation puts the relative energy among the computed polymorphs at 0.330 eV per atom.

---

Record 3
A relaxed structure of NaIn2AgI8, computed with PBE.

abc: 8.8340 8.8340 8.8340
angles: 107.14 107.14 114.24
Atoms (fractional coordinates):
Na 0.0000 0.0000 0.0000
In 0.5000 0.5000 0.0000
In 0.7500 0.2500 0.5000
Ag 0.2500 0.7500 0.5000
I 0.3115 0.1088 0.7973
I 0.3115 0.5142 0.2027
I 0.3621 0.0572 0.3049
I 0.4858 0.6885 0.7973
I 0.7523 0.0572 0.6951
I 0.8912 0.6885 0.2027
I 0.9428 0.2477 0.3049
I 0.9428 0.6379 0.6951

For the volume, the calculation gives 527.9 Å³/cell. The formation energy without anion corrections is -5.875 eV per formula unit. The total moment is 0.00 Bohr magnetons per cell.

---

Record 4
A relaxed structure of Na2InAgI6, computed with PBE.

abc: 7.8861 7.8913 8.6310
angles: 90.04 117.17 119.98
Atoms (fractional coordinates):
Na 0.0000 0.0000 0.0000
Na 0.0363 0.5184 0.5531
In 0.6338 0.3176 0.9498
Ag 0.4653 0.7334 0.1971
I 0.1158 0.4122 0.2253
I 0.1731 0.2247 0.7461
I 0.5223 0.1112 0.2256
I 0.5224 0.9497 0.7454
I 0.7969 0.5736 0.7452
I 0.8150 0.7047 0.2259

For the volume, the calculation gives 395.3 Å³/cell. The formation energy without anion corrections is -7.230 eV per formula unit. The total moment is 0.00 Bohr magnetons per cell.

---

Record 5
A relaxed structure of NaInAgI3, computed with PBE.

abc: 9.6972 4.6327 10.3868
angles: 90.00 103.29 90.00
Atoms (fractional coordinates):
Na 0.1603 0.2500 0.1453
Na 0.8397 0.7500 0.8547
In 0.3087 0.7500 0.7925
In 0.6913 0.2500 0.2075
Ag 0.4249 0.7500 0.4187
Ag 0.5751 0.2500 0.5813
I 0.0652 0.2500 0.8305
I 0.2695 0.2500 0.4784
I 0.3945 0.7500 0.1349
I 0.6055 0.2500 0.8651
I 0.7305 0.7500 0.5216
I 0.9348 0.7500 0.1695

For the volume, the calculation gives 454.1 Å³/cell. The formation energy without anion corrections is -3.871 eV per formula unit. The total moment is 0.00 Bohr magnetons per cell.

---

Record 6
A relaxed structure of Na3InAg2I6, computed with PBE.

abc: 10.2514 10.2514 9.2418
angles: 102.40 102.40 25.76
Atoms (fractional coordinates):
Na 0.0000 0.0000 0.0000
Na 0.3368 0.3368 0.6728
Na 0.6632 0.6632 0.3272
In 0.0000 0.0000 0.5000
Ag 0.3270 0.3270 0.1624
Ag 0.6730 0.6730 0.8376
I 0.1704 0.1704 0.0683
I 0.1742 0.1742 0.6039
I 0.4960 0.4960 0.2293
I 0.5040 0.5040 0.7707
I 0.8258 0.8258 0.3961
I 0.8296 0.8296 0.9317

For the volume, the calculation gives 411.8 Å³/cell. The formation energy without anion corrections is -8.765 eV per formula unit. The total moment is 0.00 Bohr magnetons per cell.

---

Record 7
A relaxed structure of NpIn2AgI6, computed with PBE.

abc: 7.9684 8.6675 13.8586
angles: 90.00 122.97 90.00
Atoms (fractional coordinates):
Np 0.0000 0.0000 0.0000
Np 0.0000 0.5000 0.5000
In 0.3039 0.1026 0.7649
In 0.3039 0.3974 0.2649
In 0.6961 0.6026 0.7351
In 0.6961 0.8974 0.2351
Ag 0.5000 0.0000 0.5000
Ag 0.5000 0.5000 0.0000
I 0.1292 0.0296 0.2552
I 0.1292 0.4704 0.7552
I 0.2366 0.6910 0.0577
I 0.2366 0.8090 0.5577
I 0.3739 0.1903 0.0552
I 0.3739 0.3097 0.5552
I 0.6261 0.6903 0.4448
I 0.6261 0.8097 0.9448
I 0.7634 0.1910 0.4423
I 0.7634 0.3090 0.9423
I 0.8708 0.5296 0.2448
I 0.8708 0.9704 0.7448

For the volume, the calculation gives 803.0 Å³/cell. The formation energy without anion corrections is -5.499 eV per formula unit. The total moment is 8.00 Bohr magnetons per cell.

---

Record 8
A relaxed structure of InAgI2O, computed with PBE.

abc: 6.1369 6.1369 3.9607
angles: 90.00 90.00 90.00
Atoms (fractional coordinates):
In 0.0000 0.0000 0.0000
Ag 0.5000 0.5000 0.5000
I 0.0000 0.5000 0.0000
I 0.5000 0.0000 0.0000
O 0.0000 0.0000 0.5000

For the volume, the calculation gives 149.2 Å³/cell. The formation energy without anion corrections is -1.278 eV per formula unit. The total moment is 0.00 Bohr magnetons per cell. The calculation puts the relative energy among the computed polymorphs at 0.000 eV per atom.

---

Record 9
A relaxed structure of InAgI2O, computed with PBE.

abc: 5.7867 5.7867 4.0808
angles: 90.00 90.00 90.00
Atoms (fractional coordinates):
In 0.0000 0.0000 0.0000
Ag 0.5000 0.5000 0.5000
I 0.0000 0.5000 0.5000
I 0.5000 0.0000 0.5000
O 0.5000 0.5000 0.0000

For the volume, the calculation gives 136.7 Å³/cell. The formation energy without anion corrections is 0.123 eV per formula unit. The total moment is 0.79 Bohr magnetons per cell. The calculation puts the relative energy among the computed polymorphs at 0.280 eV per atom.

---

Record 10
A relaxed structure of PaInAg2I8, computed with PBE.

abc: 7.5690 8.2215 9.7774
angles: 67.98 89.72 82.10
Atoms (fractional coordinates):
Pa 0.0000 0.0000 0.0000
In 0.0000 0.0000 0.5000
Ag 0.4810 0.3648 0.6518
Ag 0.5190 0.6352 0.3482
I 0.1215 0.2321 0.7102
I 0.1347 0.2116 0.1500
I 0.3495 0.7662 0.0572
I 0.4029 0.7373 0.5804
I 0.5971 0.2627 0.4196
I 0.6505 0.2338 0.9428
I 0.8653 0.7884 0.8500
I 0.8785 0.7679 0.2898

For the volume, the calculation gives 558.0 Å³/cell. The formation energy without anion corrections is -7.357 eV per formula unit. The total moment is 0.00 Bohr magnetons per cell.

---

Record 11
A relaxed structure of InAgPbI4, computed with PBE.

abc: 7.6306 8.6115 9.1872
angles: 90.00 107.22 90.00
Atoms (fractional coordinates):
In 0.2033 0.2500 0.0493
In 0.7967 0.7500 0.9507
Ag 0.2221 0.7500 0.3107
Ag 0.7779 0.2500 0.6893
Pb 0.2095 0.2500 0.5548
Pb 0.7905 0.7500 0.4452
I 0.0176 0.5115 0.7355
I 0.0176 0.9885 0.7355
I 0.4692 0.7500 0.1310
I 0.4807 0.7500 0.6103
I 0.5193 0.2500 0.3897
I 0.5308 0.2500 0.8690
I 0.9824 0.0115 0.2645
I 0.9824 0.4885 0.2645

For the volume, the calculation gives 576.6 Å³/cell. The formation energy without anion corrections is -3.057 eV per formula unit. The total moment is 0.00 Bohr magnetons per cell.

---

Record 12
A relaxed structure of InAg2PbI, computed with PBE.

abc: 5.3611 5.3611 6.3931
angles: 90.00 90.00 90.00
Atoms (fractional coordinates):
In 0.0000 0.0000 0.0000
Ag 0.0000 0.5000 0.5000
Ag 0.5000 0.0000 0.5000
Pb 0.5000 0.5000 0.0000
I 0.0000 0.0000 0.5000

For the volume, the calculation gives 183.8 Å³/cell. The formation energy without anion corrections is 3.201 eV per formula unit. The total moment is 0.23 Bohr magnetons per cell.

---

Record 13
A relaxed structure of InAgPbI2, computed with PBE.

abc: 5.7892 5.7892 5.4580
angles: 90.00 90.00 90.00
Atoms (fractional coordinates):
In 0.0000 0.0000 0.0000
Ag 0.0000 0.0000 0.5000
Pb 0.5000 0.5000 0.0000
I 0.0000 0.5000 0.5000
I 0.5000 0.0000 0.5000

For the volume, the calculation gives 182.9 Å³/cell. The formation energy without anion corrections is 0.799 eV per formula unit. The total moment is 0.99 Bohr magnetons per cell.

---

Record 14
A relaxed structure of PmInAgI5, computed with PBE.

abc: 8.5365 8.5365 11.4335
angles: 102.91 102.91 108.85
Atoms (fractional coordinates):
Pm 0.0000 0.0000 0.0000
Pm 0.0000 0.0000 0.5000
In 0.3854 0.6146 0.7500
In 0.6146 0.3854 0.2500
Ag 0.3065 0.6935 0.2500
Ag 0.6935 0.3065 0.7500
I 0.0510 0.6674 0.3738
I 0.0933 0.9067 0.7500
I 0.2482 0.3864 0.0505
I 0.3326 0.9490 0.1262
I 0.3864 0.2482 0.5505
I 0.6136 0.7518 0.4495
I 0.6674 0.0510 0.8738
I 0.7518 0.6136 0.9495
I 0.9067 0.0933 0.2500
I 0.9490 0.3326 0.6262

For the volume, the calculation gives 728.1 Å³/cell. The formation energy without anion corrections is -6.816 eV per formula unit. The total moment is 0.00 Bohr magnetons per cell.

---

Record 15
A relaxed structure of PrIn2AgI6, computed with PBE.

abc: 9.1513 9.1513 9.1513
angles: 54.65 54.65 54.65
Atoms (fractional coordinates):
Pr 0.0000 0.0000 0.0000
In 0.3129 0.3129 0.3129
In 0.8004 0.8004 0.8004
Ag 0.5834 0.5834 0.5834
I 0.1050 0.3639 0.7389
I 0.2204 0.8768 0.6324
I 0.3639 0.7389 0.1050
I 0.6324 0.2204 0.8768
I 0.7389 0.1050 0.3639
I 0.8768 0.6324 0.2204

For the volume, the calculation gives 474.4 Å³/cell. The formation energy without anion corrections is -7.828 eV per formula unit. The total moment is 0.00 Bohr magnetons per cell.

---

Record 16
A relaxed structure of RbInAgI5, computed with PBE.

abc: 9.0178 9.0178 10.1420
angles: 102.24 102.24 105.13
Atoms (fractional coordinates):
Rb 0.1633 0.8367 0.7500
Rb 0.8367 0.1633 0.2500
In 0.1651 0.8349 0.2500
In 0.8349 0.1651 0.7500
Ag 0.5000 0.5000 0.0000
Ag 0.5000 0.5000 0.5000
I 0.1212 0.2333 0.9531
I 0.1574 0.5973 0.3851
I 0.2333 0.1212 0.4531
I 0.4027 0.8426 0.1149
I 0.4258 0.5742 0.7500
I 0.5742 0.4258 0.2500
I 0.5973 0.1574 0.8851
I 0.7667 0.8788 0.5469
I 0.8426 0.4027 0.6149
I 0.8788 0.7667 0.0469

For the volume, the calculation gives 746.2 Å³/cell. The formation energy without anion corrections is -5.497 eV per formula unit. The total moment is 0.00 Bohr magnetons per cell.

---

Record 17
A relaxed structure of Rb2InAgI4, computed with PBE.

abc: 10.0704 10.0704 10.0813
angles: 118.26 118.26 92.84
Atoms (fractional coordinates):
Rb 0.0000 0.0000 0.0000
Rb 0.0000 0.0000 0.5000
Rb 0.0000 0.5000 0.0000
Rb 0.5000 0.0000 0.5000
In 0.5000 0.5000 0.0000
In 0.5000 0.5000 0.5000
Ag 0.0000 0.5000 0.5000
Ag 0.5000 0.0000 0.0000
I 0.1974 0.6876 0.4883
I 0.2567 0.2636 0.0110
I 0.2636 0.2567 0.5110
I 0.3124 0.8026 0.0117
I 0.6876 0.1974 0.9883
I 0.7364 0.7433 0.4890
I 0.7433 0.7364 0.9890
I 0.8026 0.3124 0.5117

For the volume, the calculation gives 742.2 Å³/cell. The formation energy without anion corrections is -6.911 eV per formula unit. The total moment is 0.00 Bohr magnetons per cell.

---

Record 18
A relaxed structure of RbIn2AgI4, computed with PBE.

abc: 8.6412 4.6669 8.8005
angles: 90.00 108.79 90.00
Atoms (fractional coordinates):
Rb 0.0000 0.0000 0.0000
In 0.0000 0.5000 0.5000
In 0.5000 0.0000 0.5000
Ag 0.5000 0.5000 0.0000
I 0.2515 0.5000 0.2655
I 0.3023 0.0000 0.7932
I 0.6977 0.0000 0.2068
I 0.7485 0.5000 0.7345

For the volume, the calculation gives 336.0 Å³/cell. The formation energy without anion corrections is -4.703 eV per formula unit. The total moment is 0.00 Bohr magnetons per cell.

---

Record 19
A relaxed structure of InAgSn2I6, computed with PBE.

abc: 8.0199 8.0229 8.7713
angles: 90.01 117.20 119.96
Atoms (fractional coordinates):
In 0.0000 0.0000 0.0000
Ag 0.9860 0.4929 0.4788
Sn 0.6111 0.3056 0.9162
Sn 0.6266 0.8133 0.4403
I 0.1276 0.4385 0.2160
I 0.1309 0.2373 0.6938
I 0.4565 0.8937 0.6936
I 0.5271 0.0889 0.2159
I 0.7775 0.6889 0.2155
I 0.8001 0.5631 0.6936

For the volume, the calculation gives 415.3 Å³/cell. The formation energy without anion corrections is -4.001 eV per formula unit. The total moment is 0.00 Bohr magnetons per cell.

---

Record 20
A relaxed structure of SrIn2AgI, computed with PBE.

abc: 6.1904 6.1904 6.1387
angles: 90.00 90.00 90.00
Atoms (fractional coordinates):
Sr 0.0000 0.0000 0.0000
In 0.0000 0.5000 0.5000
In 0.5000 0.0000 0.5000
Ag 0.5000 0.5000 0.0000
I 0.0000 0.0000 0.5000

For the volume, the calculation gives 235.2 Å³/cell. The formation energy without anion corrections is 1.653 eV per formula unit. The total moment is 0.00 Bohr magnetons per cell.